A geometry-optimized MoP2HO structure, computed with GGA+U.

Properties
**Crystal system**: tetragonal
**DOS at the Fermi energy**: 3.14 states/eV/f.u.
**Energy above the lowest structure with this stoichiometry**: 254.8 meV per atom
**Energy**: -4.6092 eV per atom
**ρ**: 3.34 g/cm3

POSCAR file:
```
MoP2HO
1.0
4.7734 0.0000 0.0000
0.0000 4.7734 0.0000
0.0000 0.0000 3.8119
Mo P H O
1 2 1 1
Cartesian
0.0000 0.0000 0.0000
0.0000 2.3867 0.0000
2.3867 0.0000 0.0000
2.3867 2.3867 1.9060
0.0000 0.0000 1.9060
```